Record 1
# Sm2Sb3Rh5 PBE-GGA relaxed
# Total moment (μB/atom): 0.00
# VASP energy (eV/atom): -6.53
data_Sm2Sb3Rh5
_space_group_name_H-M_alt 'C m c 21'
_space_group_IT_number 36
_space_group_name_Hall 'C 2c -2'
_cell_length_a 4.3980
_cell_length_b 25.6619
_cell_length_c 7.0619
_cell_angle_alpha 90.00
_cell_angle_beta 90.00
_cell_angle_gamma 90.00
loop_
_atom_site_label
_atom_site_fract_x
_atom_site_fract_y
_atom_site_fract_z
Sm1 0.0000 0.0129 0.0000
Sm2 0.0000 0.3223 0.9619
Sb1 0.0000 0.1104 0.2418
Sb2 0.0000 0.2788 0.4114
Sb3 0.0000 0.4470 0.2237
Rh1 0.0000 0.1015 0.6204
Rh2 0.0000 0.2069 0.1263
Rh3 0.0000 0.2200 0.7122
Rh4 0.0000 0.3774 0.5065
Rh5 0.0000 0.4456 0.8445

Record 2
# SmSbRh PBE-GGA relaxed
# Total moment (μB/atom): 0.00
# VASP energy (eV/atom): -6.30
data_SmSbRh
_space_group_name_H-M_alt 'P -6 m 2'
_space_group_IT_number 187
_space_group_name_Hall 'P -6 2'
_cell_length_a 4.5909
_cell_length_b 4.5909
_cell_length_c 3.7547
_cell_angle_alpha 90.00
_cell_angle_beta 90.00
_cell_angle_gamma 120.00
loop_
_atom_site_label
_atom_site_fract_x
_atom_site_fract_y
_atom_site_fract_z
Sm1 0.0000 0.0000 0.0000
Sb1 0.6667 0.3333 0.5000
Rh1 0.3333 0.6667 0.5000

Record 3
# Sm4SbRh PBE-GGA relaxed
# Total moment (μB/atom): 0.00
# VASP energy (eV/atom): -5.69
data_Sm4SbRh
_space_group_name_H-M_alt 'C 1 2/c 1'
_space_group_IT_number 15
_space_group_name_Hall '-C 2yc'
_cell_length_a 8.9657
_cell_length_b 13.9837
_cell_length_c 6.1220
_cell_angle_alpha 90.00
_cell_angle_beta 115.74
_cell_angle_gamma 90.00
loop_
_atom_site_label
_atom_site_fract_x
_atom_site_fract_y
_atom_site_fract_z
Sm1 0.1144 0.1828 0.0753
Sm2 0.2205 0.4305 0.3302
Sb1 0.0000 0.3766 0.7500
Rh1 0.0000 0.0016 0.2500